Here is Ac2Si4NiPt3 after structural relaxation from Alexandria via LeMat-Bulk. Energies are from PBE.

abc: 4.3520 4.3520 10.0186
angles: 90.00 90.00 90.00
Last column: nearest neighbours and their distance in Å.
Atoms (fractional coordinates):
Ac: 0.5000 0.0000 0.2504  6 Pt 3.31-3.34, 2 Ni 3.31, 9 Si 3.32-3.71
Ac: 0.0000 0.5000 0.7496  2 Ni 3.31, 6 Pt 3.31-3.34, 9 Si 3.32-3.71
Si: 0.5000 0.5000 0.0000  4 Pt 2.49
Si: 0.0000 0.0000 0.0000  4 Pt 2.49
Si: 0.5000 0.0000 0.6205  2 Ni 2.49, 3 Pt 2.49-2.59
Si: 0.0000 0.5000 0.3795  3 Pt 2.49-2.59, 2 Ni 2.49
Ni: 0.5000 0.5000 0.5000  4 Si 2.49
Pt: 0.0000 0.0000 0.5000  4 Si 2.49
Pt: 0.5000 0.0000 0.8794  5 Si 2.49-2.59
Pt: 0.0000 0.5000 0.1206  5 Si 2.49-2.59

Output
N(E_F) in states/eV per cell: 6.83
Raw total energy in eV per cell: -63.5
Theoretical density in g/cm3: 10.591
Energy relative to the elements, uncorrected in meV/atom: -967.5
SG: P-4m2, No. 115